1.
This record from the Alexandria database describes crystalline BaGeW3 at its relaxed geometry. The functional is GGA-PBE.

Geometry as CIF:
```
data_BaGeW3
_space_group_name_H-M_alt 'P 1'
_space_group_IT_number 1
_cell_length_a 5.043
_cell_length_b 5.043
_cell_length_c 5.043
_cell_angle_alpha 90.00
_cell_angle_beta 90.00
_cell_angle_gamma 90.00
loop_
_space_group_symop_operation_xyz
'x,y,z'
loop_
_atom_site_label
_atom_site_fract_x
_atom_site_fract_y
_atom_site_fract_z
_atom_site_occupancy
Ge1 0.500 0.500 0.500 1
Ba1 0.000 0.000 0.000 1
W1 0.000 0.500 0.000 1
W2 0.000 0.000 0.500 1
W3 0.500 0.000 0.000 1
```

***

2.
This record from the Alexandria database describes crystalline BaGe3W at its relaxed geometry. The functional is GGA-PBE.

Geometry as CIF:
```
data_BaGe3W
_space_group_name_H-M_alt 'P 1'
_space_group_IT_number 1
_cell_length_a 5.417
_cell_length_b 5.417
_cell_length_c 5.417
_cell_angle_alpha 90.00
_cell_angle_beta 90.00
_cell_angle_gamma 90.00
loop_
_space_group_symop_operation_xyz
'x,y,z'
loop_
_atom_site_label
_atom_site_fract_x
_atom_site_fract_y
_atom_site_fract_z
_atom_site_occupancy
Ge1 0.000 0.500 0.000 1
Ge2 0.000 0.000 0.500 1
Ge3 0.500 0.000 0.000 1
Ba1 0.000 0.000 0.000 1
W1 0.500 0.500 0.500 1
```

***

3.
This record from the Alexandria database describes crystalline BaGeW3 at its relaxed geometry. The functional is GGA-PBE.

Geometry as CIF:
```
data_BaGeW3
_space_group_name_H-M_alt 'P 1'
_space_group_IT_number 1
_cell_length_a 4.852
_cell_length_b 4.852
_cell_length_c 4.852
_cell_angle_alpha 90.00
_cell_angle_beta 90.00
_cell_angle_gamma 90.00
loop_
_space_group_symop_operation_xyz
'x,y,z'
loop_
_atom_site_label
_atom_site_fract_x
_atom_site_fract_y
_atom_site_fract_z
_atom_site_occupancy
Ge1 0.000 0.000 0.000 1
Ba1 0.500 0.500 0.500 1
W1 0.000 0.500 0.000 1
W2 0.000 0.000 0.500 1
W3 0.500 0.000 0.000 1
```

***

4.
This record from the Alexandria database describes crystalline BaGe3W at its relaxed geometry. The functional is GGA-PBE.

Geometry as CIF:
```
data_BaGe3W
_space_group_name_H-M_alt 'P 1'
_space_group_IT_number 1
_cell_length_a 4.991
_cell_length_b 4.991
_cell_length_c 4.991
_cell_angle_alpha 90.00
_cell_angle_beta 90.00
_cell_angle_gamma 90.00
loop_
_space_group_symop_operation_xyz
'x,y,z'
loop_
_atom_site_label
_atom_site_fract_x
_atom_site_fract_y
_atom_site_fract_z
_atom_site_occupancy
Ge1 0.000 0.500 0.000 1
Ge2 0.000 0.000 0.500 1
Ge3 0.500 0.000 0.000 1
Ba1 0.500 0.500 0.500 1
W1 0.000 0.000 0.000 1
```

***

Number 1: ΔH_f (0 K) 19.26 eV per formula unit. Number 2: ΔH_f (0 K) 12.97 eV per formula unit. Number 3: ΔH_f (0 K) 8.72 eV per formula unit. Number 4: ΔH_f (0 K) -0.54 eV per formula unit.